# 1
An optimized crystal structure of LaCu2Mo, computed with PBE.

Structure (POSCAR):
```
LaCu2Mo
1.0
4.007 0.000 0.000
0.000 4.218 0.000
0.000 0.000 4.218
Mo Cu La
1 2 1
direct
0.500 0.000 0.500
0.000 0.000 0.000
0.000 0.500 0.500
0.500 0.500 0.000
```

# 2
An optimized crystal structure of La2CuMo, computed with PBE.

Structure (POSCAR):
```
La2CuMo
1.0
-3.061 3.926 -0.002
-2.821 0.958 3.988
1.004 3.940 2.871
La Mo Cu
2 1 1
direct
0.000 0.000 0.000
0.250 0.250 0.250
0.750 0.750 0.750
0.500 0.500 0.500
```

# 3
An optimized crystal structure of LaCuMo2, computed with PBE.

Structure (POSCAR):
```
LaCuMo2
1.0
-1.385 -0.965 2.794
2.867 0.335 1.536
1.342 7.216 3.157
La Mo Cu
1 2 1
direct
0.500 0.745 0.751
0.500 0.264 0.243
0.000 0.935 0.062
0.000 0.557 0.443
```

# 4
An optimized crystal structure of LaCuMo2, computed with PBE.

Structure (POSCAR):
```
LaCuMo2
1.0
-3.379 -3.157 -1.548
1.155 -2.592 2.766
-2.614 1.550 2.544
Mo Cu La
2 1 1
direct
0.000 0.500 0.500
0.000 0.000 0.000
0.500 0.500 0.000
0.500 0.000 0.500
```

# 5
An optimized crystal structure of LaCuMo2, computed with PBE.

Structure (POSCAR):
```
LaCuMo2
1.0
-1.111 2.712 -0.286
-1.318 -1.902 -1.822
-6.252 -1.879 6.481
Mo La Cu
2 1 1
direct
0.500 0.500 0.250
0.000 0.000 0.037
0.500 0.500 0.747
0.000 0.000 0.466
```

# 6
An optimized crystal structure of La2CuMo2, computed with PBE.

Structure (POSCAR):
```
La2CuMo2
1.0
-6.992 0.117 -0.774
-0.555 -5.647 4.159
-0.360 2.736 3.666
Cu La Mo
2 4 4
direct
0.500 0.500 0.000
0.000 0.000 0.000
0.186 0.686 0.500
0.686 0.814 0.500
0.314 0.186 0.500
0.814 0.314 0.500
0.880 0.620 0.000
0.380 0.880 0.000
0.120 0.380 0.000
0.620 0.120 0.000
```

In order of appearance, ΔH_f (0 K) = 0.407 0.463 0.253 0.635 0.409 0.381 eV/atom.